No. 1
The following is a GGA-PBE calculation of an optimized crystal structure of Pr2Si7Ni12, from the Alexandria database.

a b c (Å): 9.255 9.255 3.773
angles (deg): 90.00 90.00 120.00
Fractional coordinates of all 21 atoms:
Pr  0.000  0.000  0.000
Pr  0.333  0.667  0.500
Si  0.052  0.446  0.000
Si  0.271  0.241  0.500
Si  0.394  0.948  0.000
Si  0.554  0.606  0.000
Si  0.667  0.333  0.000
Si  0.759  0.030  0.500
Si  0.970  0.729  0.500
Ni  0.034  0.281  0.500
Ni  0.115  0.728  0.000
Ni  0.247  0.966  0.500
Ni  0.272  0.387  0.000
Ni  0.390  0.192  0.000
Ni  0.560  0.427  0.500
Ni  0.573  0.133  0.500
Ni  0.613  0.885  0.000
Ni  0.719  0.753  0.500
Ni  0.802  0.610  0.000
Ni  0.808  0.198  0.000
Ni  0.867  0.440  0.500

Computed properties:
Its space-group type is P-6, No. 174. The crystal system is hexagonal.

---

No. 2
The following is a GGA-PBE calculation of an optimized crystal structure of Pr2SiNi, from the Alexandria database.

a b c (Å): 4.167 4.374 10.414
angles (deg): 90.00 90.00 90.00
Fractional coordinates of all 8 atoms:
Pr  0.000  0.000  0.000
Pr  0.000  0.500  0.500
Pr  0.500  0.000  0.289
Pr  0.500  0.500  0.789
Si  0.000  0.000  0.701
Si  0.000  0.500  0.201
Ni  0.500  0.000  0.588
Ni  0.500  0.500  0.088

Computed properties:
Its space-group type is Amm2, No. 38. The crystal system is orthorhombic.

---

No. 3
The following is a GGA-PBE calculation of an optimized crystal structure of PrSm2Si2Ni2, from the Alexandria database.

a b c (Å): 10.543 10.543 10.543
angles (deg): 22.82 22.82 22.82
Fractional coordinates of all 7 atoms:
Pr  0.000  0.000  0.000
Sm  0.121  0.121  0.121
Sm  0.879  0.879  0.879
Si  0.266  0.266  0.266
Si  0.734  0.734  0.734
Ni  0.398  0.398  0.398
Ni  0.602  0.602  0.602

Computed properties:
Its space-group type is R-3m, No. 166. The crystal system is trigonal.

---

No. 4
The following is a GGA-PBE calculation of an optimized crystal structure of PrSmSiNi, from the Alexandria database.

a b c (Å): 4.169 4.440 9.977
angles (deg): 90.00 90.00 90.00
Fractional coordinates of all 8 atoms:
Pr  0.000  0.000  0.000
Pr  0.000  0.500  0.500
Sm  0.500  0.000  0.293
Sm  0.500  0.500  0.793
Si  0.500  0.000  0.596
Si  0.500  0.500  0.096
Ni  0.000  0.000  0.707
Ni  0.000  0.500  0.207

Computed properties:
Its space-group type is Amm2, No. 38. The crystal system is orthorhombic.

---

No. 5
The following is a GGA-PBE calculation of an optimized crystal structure of Pr2SmSi3Ni12, from the Alexandria database.

a b c (Å): 7.698 7.698 7.698
angles (deg): 58.43 58.43 58.43
Fractional coordinates of all 18 atoms:
Pr  0.098  0.098  0.098
Pr  0.902  0.902  0.902
Sm  0.500  0.500  0.500
Si  0.000  0.500  0.500
Si  0.500  0.000  0.500
Si  0.500  0.500  0.000
Ni  0.016  0.664  0.664
Ni  0.150  0.150  0.615
Ni  0.150  0.615  0.150
Ni  0.336  0.336  0.984
Ni  0.336  0.984  0.336
Ni  0.385  0.850  0.850
Ni  0.615  0.150  0.150
Ni  0.664  0.016  0.664
Ni  0.664  0.664  0.016
Ni  0.850  0.385  0.850
Ni  0.850  0.850  0.385
Ni  0.984  0.336  0.336

Computed properties:
Its space-group type is R-3m, No. 166. The crystal system is trigonal.

---

No. 6
The following is a GGA-PBE calculation of an optimized crystal structure of Pr3Si2Ni9Sn, from the Alexandria database.

a b c (Å): 6.325 6.325 7.825
angles (deg): 90.00 90.00 120.00
Fractional coordinates of all 15 atoms:
Pr  0.000  0.000  0.000
Pr  0.333  0.667  0.707
Pr  0.667  0.333  0.293
Si  0.333  0.667  0.162
Si  0.667  0.333  0.838
Ni  0.000  0.500  0.000
Ni  0.205  0.411  0.386
Ni  0.205  0.795  0.386
Ni  0.411  0.205  0.614
Ni  0.500  0.000  0.000
Ni  0.500  0.500  0.000
Ni  0.589  0.795  0.386
Ni  0.795  0.205  0.614
Ni  0.795  0.589  0.614
Sn  0.000  0.000  0.500

Computed properties:
Its space-group type is P-3m1, No. 164. The crystal system is trigonal.

---

No. 7
The following is a GGA-PBE calculation of an optimized crystal structure of TbPrSi2Ni2, from the Alexandria database.

a b c (Å): 4.000 4.000 8.317
angles (deg): 90.00 90.00 120.00
Fractional coordinates of all 6 atoms:
Tb  0.000  0.000  0.000
Pr  0.000  0.000  0.500
Si  0.333  0.667  0.759
Si  0.667  0.333  0.241
Ni  0.333  0.667  0.238
Ni  0.667  0.333  0.762

Computed properties:
Its space-group type is P-3m1, No. 164. The crystal system is trigonal.

---

No. 8
The following is a GGA-PBE calculation of an optimized crystal structure of TbPr2Si3Ni12, from the Alexandria database.

a b c (Å): 7.680 7.680 7.680
angles (deg): 58.30 58.30 58.30
Fractional coordinates of all 18 atoms:
Tb  0.000  0.000  0.000
Pr  0.401  0.401  0.401
Pr  0.599  0.599  0.599
Si  0.000  0.000  0.500
Si  0.000  0.500  0.000
Si  0.500  0.000  0.000
Ni  0.114  0.649  0.649
Ni  0.162  0.162  0.523
Ni  0.162  0.523  0.162
Ni  0.351  0.351  0.886
Ni  0.351  0.886  0.351
Ni  0.477  0.838  0.838
Ni  0.523  0.162  0.162
Ni  0.649  0.114  0.649
Ni  0.649  0.649  0.114
Ni  0.838  0.477  0.838
Ni  0.838  0.838  0.477
Ni  0.886  0.351  0.351

Computed properties:
Its space-group type is R-3m, No. 166. The crystal system is trigonal.

---

Number 1: E_tot -6.198 eV per atom, formation energy without anion corrections -14.56 kcal/mol of atoms. Number 2: E_tot -5.708 eV per atom, formation energy without anion corrections -11.92 kcal/mol of atoms. Number 3: E_tot -5.829 eV per atom, formation energy without anion corrections -13.75 kcal/mol of atoms. Number 4: E_tot -5.719 eV per atom, formation energy without anion corrections -12.53 kcal/mol of atoms. Number 5: E_tot -5.522 eV per atom, formation energy without anion corrections 0.68 kcal/mol of atoms. Number 6: E_tot -5.632 eV per atom, formation energy without anion corrections -5.01 kcal/mol of atoms. Number 7: E_tot -6.044 eV per atom, formation energy without anion corrections -17.09 kcal/mol of atoms. Number 8: E_tot -5.509 eV per atom, formation energy without anion corrections 0.85 kcal/mol of atoms.